VASP calculation (PBE) on an optimized crystal structure of Tb2HoInN4.

## Properties
The energy comes out at -59.3 eV/f.u. The energy relative to the elements, uncorrected comes out at -1.1833 eV per atom.

abc: 3.460 5.992 5.978
angles: 110.48 90.00 90.00
Positions (direct):
1 Tb 0.500 0.000 0.500
2 Tb 0.000 0.500 0.500
3 Ho 0.500 0.500 0.000
4 In 0.000 0.000 0.000
5 N 0.500 0.250 0.248
6 N 0.500 0.750 0.752
7 N 0.000 0.258 0.746
8 N 0.000 0.742 0.254


VASP calculation (PBE) on an optimized crystal structure of Ho2ThInN.

## Properties
The energy comes out at -32.1 eV/f.u. The energy relative to the elements, uncorrected comes out at -0.8873 eV per atom.

abc: 4.906 4.862 4.862
angles: 90.00 90.00 90.00
Positions (direct):
1 Ho 0.000 0.000 0.500
2 Ho 0.000 0.500 0.000
3 Th 0.500 0.000 0.000
4 In 0.500 0.500 0.500
5 N 0.000 0.000 0.000


VASP calculation (PBE) on an optimized crystal structure of HoTh2InN.

## Properties
The energy comes out at -34.5 eV/f.u. The energy relative to the elements, uncorrected comes out at -0.7944 eV per atom.

abc: 4.906 4.975 4.975
angles: 90.00 90.00 90.00
Positions (direct):
1 Ho 0.500 0.000 0.000
2 Th 0.000 0.000 0.500
3 Th 0.000 0.500 0.000
4 In 0.500 0.500 0.500
5 N 0.000 0.000 0.000


VASP calculation (PBE) on an optimized crystal structure of Ho2TmInN.

## Properties
The energy comes out at -29.8 eV/f.u. The energy relative to the elements, uncorrected comes out at -1.0120 eV per atom.

abc: 4.737 4.790 4.790
angles: 90.00 90.00 90.00
Positions (direct):
1 Ho 0.000 0.000 0.500
2 Ho 0.000 0.500 0.000
3 Tm 0.500 0.000 0.000
4 In 0.500 0.500 0.500
5 N 0.000 0.000 0.000


Q: What is the formula in the fourth record?
A: Ho2TmInN